(1)
DFT (PBE) results for an optimized crystal structure of AcCrSe3.

The space group is Pm-3m (No. 221) and the conventional cell measures 4.956, 4.956 and 4.956 Å, with angles of 90.00, 90.00 and 90.00 degrees. The asymmetric unit holds Ac at (0.000, 0.000, 0.000), Cr at (0.500, 0.500, 0.500) and Se at (0.000, 0.500, 0.500).

As for the energy relative to the lowest polymorph listed for this composition: 0.124 eV per atom. The crystal system is cubic. The formation energy (no corrections) comes out at -1.08 eV/atom.

(2)
DFT (PBE) results for an optimized crystal structure of Ac3Cr5Se12.

The space group is Ia-3d (No. 230) and the conventional cell measures 16.168, 16.168 and 16.168 Å, with angles of 90.00, 90.00 and 90.00 degrees. The asymmetric unit holds Ac at (0.000, 0.250, 0.125), Cr at (0.000, 0.000, 0.000), Cr at (0.000, 0.250, 0.375) and Se at (0.033, 0.054, 0.647).

The crystal system is cubic. The formation energy (no corrections) comes out at -0.97 eV/atom.

(3)
DFT (PBE) results for an optimized crystal structure of AcCrSe3.

The space group is P2_1/c (No. 14) and the conventional cell measures 8.148, 6.465 and 9.755 Å, with angles of 90.00, 97.82 and 90.00 degrees. The asymmetric unit holds Ac at (0.159, 0.237, 0.168), Cr at (0.415, 0.743, 0.577), Se at (0.101, 0.719, 0.112), Se at (0.317, 0.062, 0.933) and Se at (0.446, 0.577, 0.835).

As for the energy relative to the lowest polymorph listed for this composition: 0.000 eV per atom. The crystal system is monoclinic. The formation energy (no corrections) comes out at -1.20 eV/atom.

(4)
DFT (PBE) results for an optimized crystal structure of Ac2CrSe5.

The space group is I4mm (No. 107) and the conventional cell measures 7.212, 7.212 and 8.455 Å, with angles of 90.00, 90.00 and 90.00 degrees. The asymmetric unit holds Ac at (0.000, 0.500, 0.000), Cr at (0.000, 0.000, 0.197), Se at (0.000, 0.000, 0.936) and Se at (0.237, 0.237, 0.250).

The crystal system is tetragonal. The formation energy (no corrections) comes out at -1.30 eV/atom.

(5)
DFT (PBE) results for an optimized crystal structure of Ac3CrSe6.

The space group is P2_1/c (No. 14) and the conventional cell measures 7.175, 7.802 and 12.476 Å, with angles of 90.00, 122.33 and 90.00 degrees. The asymmetric unit holds Ac at (0.000, 0.000, 0.000), Ac at (0.295, 0.095, 0.757), Cr at (0.500, 0.000, 0.500), Se at (0.150, 0.035, 0.276), Se at (0.266, 0.671, 0.061) and Se at (0.404, 0.209, 0.063).

The crystal system is monoclinic. The formation energy (no corrections) comes out at -1.58 eV/atom.

(6)
DFT (PBE) results for an optimized crystal structure of Ac2Tl3CrSe6.

The space group is C2/m (No. 12) and the conventional cell measures 7.515, 12.927 and 8.053 Å, with angles of 90.00, 107.88 and 90.00 degrees. The asymmetric unit holds Ac at (0.000, 0.166, 0.000), Tl at (0.000, 0.000, 0.500), Tl at (0.000, 0.327, 0.500), Cr at (0.000, 0.500, 0.000), Se at (0.211, 0.356, 0.201) and Se at (0.219, 0.500, 0.786).

The crystal system is monoclinic. The formation energy (no corrections) comes out at -1.04 eV/atom.

(7)
DFT (PBE) results for an optimized crystal structure of Ac2TmCrSe6.

The space group is P2_1/c (No. 14) and the conventional cell measures 6.949, 7.609 and 12.233 Å, with angles of 90.00, 123.60 and 90.00 degrees. The asymmetric unit holds Ac at (0.212, 0.096, 0.248), Tm at (0.500, 0.000, 0.000), Cr at (0.000, 0.000, 0.500), Se at (0.120, 0.201, 0.949), Se at (0.258, 0.681, 0.951) and Se at (0.341, 0.017, 0.738).

The crystal system is monoclinic. The formation energy (no corrections) comes out at -1.61 eV/atom.

(8)
DFT (PBE) results for an optimized crystal structure of AcCrTe.

The space group is C2/m (No. 12) and the conventional cell measures 6.683, 4.485 and 11.946 Å, with angles of 90.00, 98.59 and 90.00 degrees. The asymmetric unit holds Ac at (0.149, 0.000, 0.354), Cr at (0.135, 0.000, 0.036) and Te at (0.203, 0.500, 0.153).

The crystal system is monoclinic. The formation energy (no corrections) comes out at -0.12 eV/atom.

(9)
DFT (PBE) results for an optimized crystal structure of AcCrTe2.

The space group is R-3m (No. 166, hexagonal axes) and the conventional cell measures 4.1028, 4.1028 and 28.3949 Å, with angles of 90.00, 90.00 and 120.00 degrees. The asymmetric unit holds Ac at (0.0000, 0.0000, 0.0000), Cr at (0.0000, 0.0000, 0.5000) and Te at (0.0000, 0.0000, 0.1156).

The crystal system is trigonal. The formation energy (no corrections) comes out at -0.30 eV/atom.